Record 1
YRuI2: optimized geometry, PBE-GGA.

Cell and atoms, written as CIF:
```
data_YRuI2
_cell_length_a 5.1613
_cell_length_b 5.1613
_cell_length_c 17.3642
_cell_angle_alpha 90.00
_cell_angle_beta 90.00
_cell_angle_gamma 90.00
_symmetry_space_group_name_H-M 'I -4 2 d'
_symmetry_Int_Tables_number 122
_symmetry_space_group_name_Hall 'I -4 2bw'
loop_
_atom_site_label
_atom_site_fract_x
_atom_site_fract_y
_atom_site_fract_z
Y1 0.0000 0.0000 0.0000
Ru1 0.0000 0.0000 0.5000
I1 0.2129 0.2500 0.6250
```

Summary:
- ΔE to the lowest computed polymorph (meV per atom) = 0

Record 2
Y4RuI5: optimized geometry, PBE-GGA.

Cell and atoms, written as CIF:
```
data_Y4RuI5
_cell_length_a 19.3564
_cell_length_b 4.1315
_cell_length_c 9.0640
_cell_angle_alpha 90.00
_cell_angle_beta 103.07
_cell_angle_gamma 90.00
_symmetry_space_group_name_H-M 'C 1 2/m 1'
_symmetry_Int_Tables_number 12
_symmetry_space_group_name_Hall '-C 2y'
loop_
_atom_site_label
_atom_site_fract_x
_atom_site_fract_y
_atom_site_fract_z
Y1 0.0002 0.0000 0.2068
Y2 0.1386 0.5000 0.0712
Ru1 0.0000 0.5000 0.0000
I1 0.0000 0.5000 0.5000
I2 0.1681 0.0000 0.3387
I3 0.1754 0.0000 0.8338
```

Summary:
- ΔE to the lowest computed polymorph (meV per atom) = 34

Record 3
Y2ZrRuI: optimized geometry, PBE-GGA.

Cell and atoms, written as CIF:
```
data_Y2ZrRuI
_cell_length_a 5.5816
_cell_length_b 5.5816
_cell_length_c 5.2927
_cell_angle_alpha 90.00
_cell_angle_beta 90.00
_cell_angle_gamma 90.00
_symmetry_space_group_name_H-M 'P 4/m m m'
_symmetry_Int_Tables_number 123
_symmetry_space_group_name_Hall '-P 4 2'
loop_
_atom_site_label
_atom_site_fract_x
_atom_site_fract_y
_atom_site_fract_z
Y1 0.0000 0.5000 0.0000
Zr1 0.0000 0.0000 0.0000
Ru1 0.5000 0.5000 0.5000
I1 0.0000 0.0000 0.5000
```

Record 4
Zn2RuI: optimized geometry, PBE-GGA.

Cell and atoms, written as CIF:
```
data_Zn2RuI
_cell_length_a 6.6192
_cell_length_b 6.6192
_cell_length_c 6.6192
_cell_angle_alpha 90.00
_cell_angle_beta 90.00
_cell_angle_gamma 90.00
_symmetry_space_group_name_H-M 'F m -3 m'
_symmetry_Int_Tables_number 225
_symmetry_space_group_name_Hall '-F 4 2 3'
loop_
_atom_site_label
_atom_site_fract_x
_atom_site_fract_y
_atom_site_fract_z
Zn1 0.2500 0.2500 0.2500
Ru1 0.0000 0.0000 0.0000
I1 0.0000 0.0000 0.5000
```

Summary:
- ΔE to the lowest computed polymorph (meV per atom) = 36

Record 5
ZnRu3I: optimized geometry, PBE-GGA.

Cell and atoms, written as CIF:
```
data_ZnRu3I
_cell_length_a 4.7889
_cell_length_b 4.7889
_cell_length_c 4.7889
_cell_angle_alpha 90.00
_cell_angle_beta 90.00
_cell_angle_gamma 90.00
_symmetry_space_group_name_H-M 'P m -3 m'
_symmetry_Int_Tables_number 221
_symmetry_space_group_name_Hall '-P 4 2 3'
loop_
_atom_site_label
_atom_site_fract_x
_atom_site_fract_y
_atom_site_fract_z
Zn1 0.0000 0.0000 0.0000
Ru1 0.0000 0.5000 0.5000
I1 0.5000 0.5000 0.5000
```

Summary:
- ΔE to the lowest computed polymorph (meV per atom) = 113

Record 6
ZnRuI3: optimized geometry, PBE-GGA.

Cell and atoms, written as CIF:
```
data_ZnRuI3
_cell_length_a 5.5649
_cell_length_b 5.5649
_cell_length_c 5.5649
_cell_angle_alpha 90.00
_cell_angle_beta 90.00
_cell_angle_gamma 90.00
_symmetry_space_group_name_H-M 'P m -3 m'
_symmetry_Int_Tables_number 221
_symmetry_space_group_name_Hall '-P 4 2 3'
loop_
_atom_site_label
_atom_site_fract_x
_atom_site_fract_y
_atom_site_fract_z
Zn1 0.0000 0.0000 0.0000
Ru1 0.5000 0.5000 0.5000
I1 0.0000 0.0000 0.5000
```

Summary:
- ΔE to the lowest computed polymorph (meV per atom) = 408

Record 7
ZnRu2I: optimized geometry, PBE-GGA.

Cell and atoms, written as CIF:
```
data_ZnRu2I
_cell_length_a 6.3489
_cell_length_b 6.3489
_cell_length_c 6.3489
_cell_angle_alpha 90.00
_cell_angle_beta 90.00
_cell_angle_gamma 90.00
_symmetry_space_group_name_H-M 'F m -3 m'
_symmetry_Int_Tables_number 225
_symmetry_space_group_name_Hall '-F 4 2 3'
loop_
_atom_site_label
_atom_site_fract_x
_atom_site_fract_y
_atom_site_fract_z
Zn1 0.0000 0.0000 0.0000
Ru1 0.2500 0.2500 0.2500
I1 0.0000 0.0000 0.5000
```

Summary:
- ΔE to the lowest computed polymorph (meV per atom) = 0

Record 8
ZnRu2I: optimized geometry, PBE-GGA.

Cell and atoms, written as CIF:
```
data_ZnRu2I
_cell_length_a 5.8252
_cell_length_b 5.8252
_cell_length_c 11.0130
_cell_angle_alpha 90.00
_cell_angle_beta 90.00
_cell_angle_gamma 90.00
_symmetry_space_group_name_H-M 'I -4 2 d'
_symmetry_Int_Tables_number 122
_symmetry_space_group_name_Hall 'I -4 2bw'
loop_
_atom_site_label
_atom_site_fract_x
_atom_site_fract_y
_atom_site_fract_z
Zn1 0.0000 0.0000 0.0000
Ru1 0.2418 0.2500 0.1250
I1 0.0000 0.0000 0.5000
```

Summary:
- ΔE to the lowest computed polymorph (meV per atom) = 490

DOS(E_F) for every record listed, in sequence, given in states/eV/cell: 6.41 11.70 6.69 14.91 8.12 4.32 20.87 19.24.
Formation energy from raw total energies for every record listed, in sequence, given in meV per atom: 79 -1056 1238 808 1768 814 638 1128.